DFT (PBE) results for Ho6Te3CSe2 after structural relaxation.

```
Ho6Te3CSe2
1.0
-1.640 3.557 5.883
-2.457 -6.560 -0.942
6.967 -1.558 1.476
Ho Te Se C
6 3 2 1
Direct
0.225 0.225 0.790
0.066 0.363 0.201
0.363 0.066 0.201
0.934 0.637 0.799
0.775 0.775 0.210
0.637 0.934 0.799
0.177 0.823 0.500
0.500 0.500 0.500
0.823 0.177 0.500
0.335 0.665 0.000
0.665 0.335 0.000
0.000 0.000 0.000
```

Output
- Electronic total energy: -69.3 eV/cell
- Energy relative to the elements, uncorrected: -1.3477 eV per atom